First-principles (PBE) data for a geometry-optimized Ho3Tl3Cd2 structure, as listed in Alexandria via LeMat-Bulk.

Cell lengths 3.5861, 8.3049, 8.3049 Å; angles 120.00, 90.00, 90.00 degrees
With the nearest neighbours (Å) after each atom.
Fractional coordinates of all 8 atoms:
Ho 0.5000 0.3709 0.3709  4 Cd 3.18, 4 Tl 3.26
Ho 0.5000 0.6291 0.0000  4 Cd 3.18, 4 Tl 3.26
Ho 0.5000 0.0000 0.6291  4 Cd 3.18, 4 Tl 3.26
Tl 0.0000 0.7464 0.7464  2 Cd 3.15, 4 Ho 3.26
Tl 0.0000 0.2536 0.0000  2 Cd 3.15, 4 Ho 3.26
Tl 0.0000 0.0000 0.2536  2 Cd 3.15, 4 Ho 3.26
Cd 0.0000 0.3333 0.6667  3 Tl 3.15, 6 Ho 3.18
Cd 0.0000 0.6667 0.3333  3 Tl 3.15, 6 Ho 3.18

Computed properties:
* formation energy: -0.24 eV per atom
* density: 10.33 g/cm³
* symmetry: No. 189
* energy above the most stable polymorph in this dataset: 0 meV per atom